<1>
LaAl2W | PBE-GGA | relaxed

abc: 5.4697 5.4697 5.4697
angles: 139.45 128.43 67.58
Last column: nearest neighbours and their distance in Å.
Sites, in units of the cell vectors:
Al: 0.7682 0.2682 0.5000  2 Al 2.86, 4 W 3.06, 4 La 3.12-3.16
Al: 0.0037 0.0037 0.0000  2 W 2.81, 2 Al 2.86, 4 La 3.04
W: 0.2318 0.7318 0.5000  6 Al 2.81-3.06, 2 La 3.06
La: 0.4963 0.4963 0.0000  8 Al 3.04-3.16, 4 W 3.06-3.20

The density is 7.6 Mg/m³. The space group is Imm2 (44). The calculation puts the magnetic moment at 0.00 μB/cell.

***

<2>
LaAl2W | PBE-GGA | relaxed

abc: 10.3197 10.3197 10.3197
angles: 16.72 16.72 16.72
Last column: nearest neighbours and their distance in Å.
Sites, in units of the cell vectors:
Al: 0.0121 0.0121 0.0121  3 W 2.78, 6 Al 3.00
Al: 0.4879 0.4879 0.4879  3 W 2.78, 6 Al 3.00
La: 0.2500 0.2500 0.2500  6 La 3.00
W: 0.7500 0.7500 0.7500  6 Al 2.78, 6 W 3.00

The density is 7.9 Mg/m³. The space group is R-3m (166). The calculation puts the magnetic moment at 0.61 μB/cell.

***

Quick ranking, most stable first: <2>, <1>.

***

<1>
LaAl2W | PBE-GGA | relaxed

abc: 4.7889 4.7889 4.7889
angles: 119.94 119.94 90.10
Last column: nearest neighbours and their distance in Å.
Sites, in units of the cell vectors:
Al: 0.0000 0.0000 0.0000  4 Al 2.93, 4 W 2.93
Al: 0.2500 0.7500 0.5000  4 Al 2.93, 4 La 2.93
W: 0.7500 0.2500 0.5000  4 La 2.93, 4 Al 2.93
La: 0.5000 0.5000 0.0000  4 W 2.93, 4 Al 2.93

The density is 8.0 Mg/m³. The space group is I-4m2 (119). The calculation puts the magnetic moment at 0.00 μB/cell.

***

<2>
LaAl2W | PBE-GGA | relaxed

abc: 4.7897 4.7897 6.3357
angles: 83.88 83.88 35.37
Last column: nearest neighbours and their distance in Å.
Sites, in units of the cell vectors:
W: 0.7500 0.7500 0.7500  6 Al 2.75, 2 W 2.91
Al: 0.4885 0.4885 0.5711  4 Al 2.72-2.91, 3 W 2.75
Al: 0.0115 0.0115 0.9289  4 Al 2.72-2.91, 3 W 2.75
La: 0.2500 0.2500 0.2500  2 La 2.91, 2 Al 3.14

The density is 7.5 Mg/m³. The space group is C2/m (12). The calculation puts the magnetic moment at 0.06 μB/cell.

***

<3>
LaAl2W | PBE-GGA | relaxed

abc: 5.1297 5.1297 5.8527
angles: 79.62 79.62 32.77
Last column: nearest neighbours and their distance in Å.
Sites, in units of the cell vectors:
W: 0.7294 0.7294 0.8205  5 Al 2.69-2.98, 2 W 2.89
La: 0.5034 0.5034 0.5008  2 La 2.89, 1 W 3.16, 3 Al 3.19-3.20
Al: 0.9967 0.9967 0.9899  4 Al 2.73-2.89, 3 W 2.73-2.98
Al: 0.2705 0.2705 0.1888  2 W 2.69, 4 Al 2.73-2.89

The density is 7.6 Mg/m³. The space group is Cm (8). The calculation puts the magnetic moment at 0.00 μB/cell.

***

<4>
LaAl2W | PBE-GGA | relaxed

abc: 5.0988 5.0988 5.0988
angles: 128.24 128.13 76.33
Last column: nearest neighbours and their distance in Å.
Sites, in units of the cell vectors:
Al: 0.0003 0.0003 0.0000  4 W 2.99-3.00, 4 La 3.00, 4 Al 3.15
Al: 0.4997 0.4997 0.0000  4 W 2.99-3.00, 4 La 3.00, 4 Al 3.15
La: 0.7500 0.2500 0.5000  8 Al 3.00, 4 W 3.15
W: 0.2500 0.7500 0.5000  8 Al 2.99-3.00, 4 La 3.15

The density is 7.9 Mg/m³. The space group is I4/mmm (139). The calculation puts the magnetic moment at 0.00 μB/cell.

***

Quick ranking, most stable first: <2>, <4>, <3>, <1>.

***

<1>
LaAlW3 | PBE-GGA | relaxed

abc: 4.7500 4.7500 4.7500
angles: 90.00 90.00 90.00
Last column: nearest neighbours and their distance in Å.
Sites, in units of the cell vectors:
W: 0.5000 0.0000 0.0000  2 Al 2.38
W: 0.0000 0.5000 0.0000  2 Al 2.38
W: 0.0000 0.0000 0.5000  2 Al 2.38
La: 0.5000 0.5000 0.5000  12 W 3.36
Al: 0.0000 0.0000 0.0000  6 W 2.38

The density is 11.1 Mg/m³. The space group is Pm-3m (221). The calculation puts the magnetic moment at 0.00 μB/cell.

***

<2>
LaAlW3 | PBE-GGA | relaxed

abc: 4.8554 4.8554 4.8554
angles: 90.00 90.00 90.00
Last column: nearest neighbours and their distance in Å.
Sites, in units of the cell vectors:
W: 0.5000 0.0000 0.0000  2 La 2.43
W: 0.0000 0.0000 0.5000  2 La 2.43
W: 0.0000 0.5000 0.0000  2 La 2.43
Al: 0.5000 0.5000 0.5000  12 W 3.43
La: 0.0000 0.0000 0.0000  6 W 2.43

The density is 10.4 Mg/m³. The space group is Pm-3m (221). The calculation puts the magnetic moment at 0.00 μB/cell.

***

Quick ranking, most stable first: <1>, <2>.

***

<1>
La2AlW2 | PBE-GGA | relaxed

abc: 3.6589 3.6589 10.2051
angles: 79.67 79.67 90.00
Last column: nearest neighbours and their distance in Å.
Sites, in units of the cell vectors:
La: 0.6100 0.6100 0.7801  4 W 3.32, 4 Al 3.38, 4 La 3.66
La: 0.3900 0.3900 0.2199  4 W 3.32, 4 Al 3.38, 4 La 3.66
W: 0.2500 0.7500 0.5000  4 W 2.59
W: 0.7500 0.2500 0.5000  4 W 2.59
Al: 0.0000 0.0000 0.0000  8 La 3.38, 4 Al 3.66

The density is 8.4 Mg/m³. The space group is I4/mmm (139). The calculation puts the magnetic moment at 0.00 μB/cell.

***

<2>
La2AlW2 | PBE-GGA | relaxed

abc: 9.0984 9.0984 2.9113
angles: 90.00 90.00 90.00
Last column: nearest neighbours and their distance in Å.
Sites, in units of the cell vectors:
W: 0.6689 0.8311 0.5000  6 La 2.89-3.16, 2 W 2.91
W: 0.1689 0.6689 0.5000  6 La 2.89-3.16, 2 W 2.91
W: 0.3311 0.1689 0.5000  6 La 2.89-3.16, 2 W 2.91
W: 0.8311 0.3311 0.5000  6 La 2.89-3.16, 2 W 2.91
La: 0.3628 0.8628 0.0000  6 W 2.89-3.16, 2 La 2.91
La: 0.1372 0.3628 0.0000  6 W 2.89-3.16, 2 La 2.91
La: 0.8628 0.6372 0.0000  6 W 2.89-3.16, 2 La 2.91
La: 0.6372 0.1372 0.0000  6 W 2.89-3.16, 2 La 2.91
Al: 0.0000 0.0000 0.0000  2 Al 2.91
Al: 0.5000 0.5000 0.0000  2 Al 2.91

The density is 9.3 Mg/m³. The space group is P4/mbm (127). The calculation puts the magnetic moment at 0.00 μB/cell.

***

Quick ranking, most stable first: <1>, <2>.

***

<1>
La3YAl | PBE-GGA | relaxed

abc: 5.7478 5.7478 5.7478
angles: 90.00 90.00 90.00
Last column: nearest neighbours and their distance in Å.
Sites, in units of the cell vectors:
Y: 0.0000 0.0000 0.0000  6 La 2.87
La: 0.5000 0.0000 0.0000  2 Y 2.87
La: 0.0000 0.0000 0.5000  2 Y 2.87
La: 0.0000 0.5000 0.0000  2 Y 2.87
Al: 0.5000 0.5000 0.5000  12 La 4.06

The density is 4.7 Mg/m³. The space group is Pm-3m (221). The calculation puts the magnetic moment at 0.00 μB/cell.

***

<2>
La3YAl | PBE-GGA | relaxed

abc: 5.8370 5.8370 5.8370
angles: 90.00 90.00 90.00
Last column: nearest neighbours and their distance in Å.
Sites, in units of the cell vectors:
La: 0.0000 0.5000 0.0000  2 Al 2.92
La: 0.5000 0.0000 0.0000  2 Al 2.92
La: 0.0000 0.0000 0.5000  2 Al 2.92
Y: 0.5000 0.5000 0.5000  12 La 4.13
Al: 0.0000 0.0000 0.0000  6 La 2.92

The density is 4.4 Mg/m³. The space group is Pm-3m (221). The calculation puts the magnetic moment at 0.00 μB/cell.

***

Quick ranking, most stable first: <2>, <1>.